(1)
Density functional theory data (GGA-PBE) for a geometry-optimized CaCu4Sb structure.

The space group is F-43m (No. 216) and the conventional cell measures 7.351, 7.351 and 7.351 Å, with angles of 90.00, 90.00 and 90.00 degrees. The distinct sites, in fractional coordinates, are Ca at (0.000, 0.000, 0.000), Cu at (0.125, 0.125, 0.625) and Sb at (0.250, 0.250, 0.250).

The formation energy without anion corrections is -0.153 eV per atom.

---

(2)
Density functional theory data (GGA-PBE) for a geometry-optimized Sm4GaSn3 structure.

The space group is Pmm2 (No. 25) and the conventional cell measures 4.292, 4.595 and 11.516 Å, with angles of 90.00, 90.00 and 90.00 degrees. The distinct sites, in fractional coordinates, are Sm at (0.000, 0.000, 0.000), Sm at (0.000, 0.500, 0.489), Sm at (0.500, 0.000, 0.717), Sm at (0.500, 0.500, 0.221), Ga at (0.000, 0.000, 0.270), Sn at (0.000, 0.500, 0.765), Sn at (0.500, 0.000, 0.434) and Sn at (0.500, 0.500, 0.946).

Its raw total energy is -4.980 eV per atom.

---

(3)
Density functional theory data (GGA-PBE) for a geometry-optimized Tm5Bi4Sb structure.

The space group is I4/m (No. 87) and the conventional cell measures 9.869, 9.869 and 6.241 Å, with angles of 90.00, 90.00 and 90.00 degrees. The distinct sites, in fractional coordinates, are Tm at (0.000, 0.000, 0.000), Tm at (0.099, 0.705, 0.500), Bi at (0.098, 0.699, 0.000) and Sb at (0.000, 0.000, 0.500).

The formation energy without anion corrections is -0.838 eV per atom.

---

(4)
Density functional theory data (GGA-PBE) for a geometry-optimized ScAlTc2H structure.

The space group is P4/mmm (No. 123) and the conventional cell measures 4.015, 4.015 and 4.082 Å, with angles of 90.00, 90.00 and 90.00 degrees. The distinct sites, in fractional coordinates, are Sc at (0.000, 0.000, 0.000), Al at (0.500, 0.500, 0.000), Tc at (0.000, 0.500, 0.500) and H at (0.000, 0.000, 0.500).

Its raw total energy is -7.020 eV per atom.

---

(5)
Density functional theory data (GGA-PBE) for a geometry-optimized CrSiSb3 structure.

The space group is Pm-3m (No. 221) and the conventional cell measures 5.025, 5.025 and 5.025 Å, with angles of 90.00, 90.00 and 90.00 degrees. The distinct sites, in fractional coordinates, are Cr at (0.000, 0.000, 0.000), Si at (0.500, 0.500, 0.500) and Sb at (0.000, 0.000, 0.500).

The formation energy without anion corrections is 0.704 eV per atom. The calculation puts the energy above the most stable polymorph in this dataset at 0 meV/atom.

---

(6)
Density functional theory data (GGA-PBE) for a geometry-optimized Sc7Sn2Au2 structure.

The space group is Cmmm (No. 65) and the conventional cell measures 8.011, 10.397 and 6.649 Å, with angles of 90.00, 90.00 and 90.00 degrees. The distinct sites, in fractional coordinates, are Sc at (0.000, 0.000, 0.000), Sc at (0.000, 0.500, 0.247), Sc at (0.250, 0.250, 0.261), Sn at (0.184, 0.000, 0.500) and Au at (0.000, 0.285, 0.000).

Its raw total energy is -5.686 eV per atom.

---

The records above give, respectively, total magnetization values of 0.0; 0.0; 0.0; 0.6; 1.6; 0.0 μB per formula unit.